No. 1
Computed, not measured: a relaxed structure of CdCuAg2 at the GGA-PBE level of DFT.

Output
The calculation puts the energy of formation at 0.0529 eV/atom. The calculation puts the calculated total energy at -10.50 eV/f.u.

a b c (Å): 4.0724 4.0724 4.1577
angles (deg): 90.00 90.00 90.00
Last column: nearest neighbours and their distance in Å.
Space group P4/mmm (No. 123)
Asymmetric unit:
Cd: 0.0000 0.0000 0.0000 x1  4 Cu 2.88, 8 Ag 2.91
Cu: 0.5000 0.5000 0.0000 x1  4 Cd 2.88, 8 Ag 2.91
Ag: 0.0000 0.5000 0.5000 x2  4 Ag 2.88, 4 Cd 2.91, 4 Cu 2.91

***

No. 2
Computed, not measured: a relaxed structure of Cd3CuAg6 at the GGA-PBE level of DFT.

Output
The calculation puts the energy of formation at -0.0008 eV/atom. The calculation puts the calculated total energy at -23.96 eV/f.u.

a b c (Å): 7.9604 4.7569 10.2262
angles (deg): 90.00 108.35 90.00
Last column: nearest neighbours and their distance in Å.
Space group P2_1/m (No. 11)
Asymmetric unit:
Cd: 0.0500 0.2500 0.3872 x2  8 Ag 2.86-3.02, 2 Cd 3.09
Cd: 0.1368 0.7500 0.2260 x2  8 Ag 2.84-2.99, 2 Cd 3.09
Cd: 0.2741 0.2500 0.9878 x2  11 Ag 2.91-3.05
Cu: 0.4628 0.2500 0.5782 x2  8 Ag 2.68-2.82
Ag: 0.0406 0.7500 0.9223 x2  3 Ag 2.88-3.04, 7 Cd 2.93-3.02
Ag: 0.1842 0.2500 0.6820 x2  1 Cu 2.74, 5 Cd 2.86-2.99, 5 Ag 2.88-3.05
Ag: 0.2663 0.7500 0.5247 x2  3 Cu 2.68-2.80, 2 Ag 2.90-2.95, 2 Cd 2.90-2.93
Ag: 0.3448 0.7500 0.8265 x2  8 Ag 2.88-3.02, 4 Cd 3.03-3.21
Ag: 0.3685 0.2500 0.2992 x2  3 Cu 2.71-2.82, 2 Ag 2.90-2.95, 4 Cd 2.95-3.03
Ag: 0.4403 0.7500 0.1370 x2  1 Cu 2.77, 4 Cd 2.84-2.94, 6 Ag 2.88-3.05

***

No. 3
Computed, not measured: a relaxed structure of DyCdCuAg at the GGA-PBE level of DFT.

Output
The calculation puts the energy of formation at -0.2109 eV/atom. The calculation puts the calculated total energy at -13.31 eV/f.u.

a b c (Å): 6.8462 6.8462 6.8462
angles (deg): 90.00 90.00 90.00
Last column: nearest neighbours and their distance in Å.
Space group F-43m (No. 216)
Asymmetric unit:
Dy: 0.0000 0.0000 0.0000 x4  4 Cu 2.96, 4 Ag 2.96
Cd: 0.0000 0.0000 0.5000 x4  4 Cu 2.96, 4 Ag 2.96
Cu: 0.2500 0.2500 0.7500 x4  4 Cd 2.96, 4 Dy 2.96
Ag: 0.2500 0.2500 0.2500 x4  4 Cd 2.96, 4 Dy 2.96

***

No. 4
Computed, not measured: a relaxed structure of Dy4CdCuAg2 at the GGA-PBE level of DFT.

Output
The calculation puts the energy of formation at -0.2903 eV/atom. The calculation puts the calculated total energy at -31.44 eV/f.u.

a b c (Å): 5.1269 5.1269 25.1104
angles (deg): 90.00 90.00 120.00
Last column: nearest neighbours and their distance in Å.
Space group R-3m (No. 166, hexagonal axes)
Asymmetric unit:
Dy: 0.0000 0.0000 0.1188 x6  1 Cu 2.98, 4 Ag 3.06-3.17, 3 Cd 3.20
Dy: 0.0000 0.0000 0.3698 x6  3 Cu 3.10, 4 Ag 3.13-3.23, 1 Cd 3.27
Cd: 0.0000 0.0000 0.5000 x3  8 Dy 3.20-3.27, 6 Ag 3.55
Cu: 0.0000 0.0000 0.0000 x3  8 Dy 2.98-3.10
Ag: 0.0000 0.0000 0.2450 x6  8 Dy 3.06-3.23

***

No. 5
Computed, not measured: a relaxed structure of Er4CdCuAg2 at the GGA-PBE level of DFT.

Output
The calculation puts the energy of formation at -0.2992 eV/atom. The calculation puts the calculated total energy at -31.36 eV/f.u.

a b c (Å): 5.0846 5.0846 24.8971
angles (deg): 90.00 90.00 120.00
Last column: nearest neighbours and their distance in Å.
Space group R-3m (No. 166, hexagonal axes)
Asymmetric unit:
Er: 0.0000 0.0000 0.1189 x6  1 Cu 2.96, 4 Ag 3.04-3.15, 3 Cd 3.17
Er: 0.0000 0.0000 0.3700 x6  3 Cu 3.07, 4 Ag 3.10-3.20, 1 Cd 3.24
Cd: 0.0000 0.0000 0.5000 x3  8 Er 3.17-3.24, 6 Ag 3.53
Cu: 0.0000 0.0000 0.0000 x3  8 Er 2.96-3.07
Ag: 0.0000 0.0000 0.2454 x6  8 Er 3.04-3.20

***

No. 6
Computed, not measured: a relaxed structure of CdCuAg2F8 at the GGA-PBE level of DFT.

Output
The value obtained for the uncorrected formation energy is -1344 meV per atom. The calculation puts the calculated total energy at -41.81 eV/f.u.

a b c (Å): 6.7339 6.7339 8.1859
angles (deg): 90.00 90.00 90.00
Last column: nearest neighbours and their distance in Å.
Space group I-4m2 (No. 119)
Asymmetric unit:
Cd: 0.0000 0.0000 0.0000 x2  4 F 2.13
Cu: 0.0000 0.5000 0.2500 x2  4 F 1.87
Ag: 0.0000 0.0000 0.5000 x2  4 F 2.34
Ag: 0.0000 0.5000 0.7500 x2  4 F 2.11
F: 0.0000 0.2249 0.2827 x8  1 Cu 1.87
F: 0.0000 0.3118 0.9565 x8  1 Ag 2.11, 1 Cd 2.13

***

No. 7
Computed, not measured: a relaxed structure of Cd2CuAgF8 at the GGA-PBE level of DFT.

Output
The value obtained for the uncorrected formation energy is -1741 meV per atom. The calculation puts the calculated total energy at -44.64 eV/f.u.

a b c (Å): 3.9404 5.4235 7.8888
angles (deg): 82.17 88.38 82.04
Last column: nearest neighbours and their distance in Å.
Space group P-1 (No. 2)
Asymmetric unit:
Cd: 0.0046 0.0123 0.2441 x2  8 F 2.30-2.51
Cu: 0.5000 0.5000 0.0000 x1  4 F 1.90-1.94
Ag: 0.5000 0.5000 0.5000 x1  4 F 2.12-2.17
F: 0.0502 0.7542 0.5303 x2  1 Ag 2.12, 1 Cd 2.31
F: 0.0970 0.7414 0.0278 x2  1 Cu 1.94
F: 0.4354 0.2832 0.2054 x2  1 Cu 1.90
F: 0.4455 0.2203 0.7206 x2  1 Ag 2.17, 2 Cd 2.30-2.36

***

No. 8
Computed, not measured: a relaxed structure of CdCu2AgH at the GGA-PBE level of DFT.

Output
The calculation puts the calculated total energy at -14.43 eV/f.u.

a b c (Å): 3.9246 3.9246 4.2536
angles (deg): 90.00 90.00 90.00
Last column: nearest neighbours and their distance in Å.
Space group P4/mmm (No. 123)
Asymmetric unit:
Cd: 0.0000 0.0000 0.0000 x1  4 Ag 2.78, 8 Cu 2.89
Cu: 0.0000 0.5000 0.5000 x2  2 H 1.96
Ag: 0.5000 0.5000 0.0000 x1  2 H 2.13
H: 0.5000 0.5000 0.5000 x1  4 Cu 1.96, 2 Ag 2.13

***

No. 9
Computed, not measured: a relaxed structure of CdCu2AgH at the GGA-PBE level of DFT.

Output
The calculation puts the calculated total energy at -14.32 eV/f.u.

a b c (Å): 3.8852 3.8852 4.3709
angles (deg): 90.00 90.00 90.00
Last column: nearest neighbours and their distance in Å.
Space group P4/mmm (No. 123)
Asymmetric unit:
Cd: 0.0000 0.0000 0.0000 x1  2 H 2.19
Cu: 0.0000 0.5000 0.5000 x2  2 H 1.94
Ag: 0.5000 0.5000 0.0000 x1  4 Cd 2.75, 8 Cu 2.92
H: 0.0000 0.0000 0.5000 x1  4 Cu 1.94

***

No. 10
Computed, not measured: a relaxed structure of CdCuAg2H at the GGA-PBE level of DFT.

Output
The calculation puts the calculated total energy at -13.29 eV/f.u.

a b c (Å): 4.6007 4.6007 3.4265
angles (deg): 90.00 90.00 90.00
Last column: nearest neighbours and their distance in Å.
Space group P4/mmm (No. 123)
Asymmetric unit:
Cd: 0.0000 0.0000 0.0000 x1  8 Ag 2.87
Cu: 0.5000 0.5000 0.0000 x1  2 H 1.71
Ag: 0.0000 0.5000 0.5000 x2  2 H 2.30
H: 0.5000 0.5000 0.5000 x1  2 Cu 1.71

***

No. 11
Computed, not measured: a relaxed structure of CdCuAgHg at the GGA-PBE level of DFT.

Output
The calculation puts the energy of formation at 0.1031 eV/atom. The calculation puts the calculated total energy at -7.75 eV/f.u.

a b c (Å): 6.6493 6.6493 6.6493
angles (deg): 90.00 90.00 90.00
Last column: nearest neighbours and their distance in Å.
Space group F-43m (No. 216)
Asymmetric unit:
Cd: 0.0000 0.0000 0.0000 x4  4 Cu 2.88, 4 Ag 2.88
Cu: 0.2500 0.2500 0.2500 x4  4 Hg 2.88, 4 Cd 2.88
Ag: 0.2500 0.2500 0.7500 x4  4 Hg 2.88, 4 Cd 2.88
Hg: 0.0000 0.0000 0.5000 x4  4 Ag 2.88, 4 Cu 2.88

***

No. 12
Computed, not measured: a relaxed structure of Ho4CdCuAg2 at the GGA-PBE level of DFT.

Output
The calculation puts the energy of formation at -0.2948 eV/atom. The calculation puts the calculated total energy at -31.38 eV/f.u.

a b c (Å): 5.1048 5.1048 25.0080
angles (deg): 90.00 90.00 120.00
Last column: nearest neighbours and their distance in Å.
Space group R-3m (No. 166, hexagonal axes)
Asymmetric unit:
Ho: 0.0000 0.0000 0.1188 x6  1 Cu 2.97, 4 Ag 3.05-3.16, 3 Cd 3.18
Ho: 0.0000 0.0000 0.3698 x6  3 Cu 3.09, 4 Ag 3.12-3.22, 1 Cd 3.26
Cd: 0.0000 0.0000 0.5000 x3  8 Ho 3.18-3.26, 6 Ag 3.54
Cu: 0.0000 0.0000 0.0000 x3  8 Ho 2.97-3.09
Ag: 0.0000 0.0000 0.2452 x6  8 Ho 3.05-3.22

***

Q: Which of these has the highest calculated total energy?
A: CdCuAgHg

***

Q: calculated total energy of number 6 (CdCuAg2F8)?
A: -41.81 eV/f.u.